No. 1
CeHf2Sn | PBE | relaxed

Calculated formation energy, meV per atom: -23
Spin magnetization, Bohr magnetons per cell: 4.20
Polymorph energy (0 for the lowest one), meV per atom: 181
VASP energy, eV for the cell shown: -119.740

```
data_CeHf2Sn
_chemical_formula_sum 'Ce4 Hf8 Sn4'
_symmetry_space_group_name_H-M 'F m -3 m'
_symmetry_Int_Tables_number 225
_symmetry_space_group_name_Hall '-F 4 2 3'
_cell_length_a 7.1496
_cell_length_b 7.1496
_cell_length_c 7.1496
_cell_angle_alpha 90.00
_cell_angle_beta 90.00
_cell_angle_gamma 90.00
loop_
_atom_site_label
_atom_site_type_symbol
_atom_site_fract_x
_atom_site_fract_y
_atom_site_fract_z
Ce1 Ce 0.0000 0.0000 0.0000
Hf1 Hf 0.2500 0.2500 0.2500
Sn1 Sn 0.0000 0.0000 0.5000
```

***

No. 2
Ce2HfTa | PBE | relaxed

Calculated formation energy, meV per atom: 428
Spin magnetization, Bohr magnetons per cell: 0.00
VASP energy, eV for the cell shown: -95.882

```
data_Ce2HfTa
_chemical_formula_sum 'Ce6 Hf3 Ta3'
_symmetry_space_group_name_H-M 'R -3 m'
_symmetry_Int_Tables_number 166
_symmetry_space_group_name_Hall '-R 3 2"'
_cell_length_a 3.0463
_cell_length_b 3.0463
_cell_length_c 34.5905
_cell_angle_alpha 90.00
_cell_angle_beta 90.00
_cell_angle_gamma 120.00
loop_
_atom_site_label
_atom_site_type_symbol
_atom_site_fract_x
_atom_site_fract_y
_atom_site_fract_z
Ce1 Ce 0.0000 0.0000 0.0832
Hf1 Hf 0.0000 0.0000 0.5000
Ta1 Ta 0.0000 0.0000 0.0000
```

***

No. 3
CeHfTa4 | PBE | relaxed

Calculated formation energy, meV per atom: 175
Spin magnetization, Bohr magnetons per cell: 0.00
VASP energy, eV for the cell shown: -249.000

```
data_CeHfTa4
_chemical_formula_sum 'Ce4 Hf4 Ta16'
_symmetry_space_group_name_H-M 'F -4 3 m'
_symmetry_Int_Tables_number 216
_symmetry_space_group_name_Hall 'F -4 2 3'
_cell_length_a 7.9594
_cell_length_b 7.9594
_cell_length_c 7.9594
_cell_angle_alpha 90.00
_cell_angle_beta 90.00
_cell_angle_gamma 90.00
loop_
_atom_site_label
_atom_site_type_symbol
_atom_site_fract_x
_atom_site_fract_y
_atom_site_fract_z
Ce1 Ce 0.0000 0.0000 0.0000
Hf1 Hf 0.2500 0.2500 0.7500
Ta1 Ta 0.1252 0.1252 0.3748
```

***

No. 4
Tb2CeHf | PBE | relaxed

Calculated formation energy, meV per atom: 161
Spin magnetization, Bohr magnetons per cell: 0.00
Polymorph energy (0 for the lowest one), meV per atom: 11
VASP energy, eV for the cell shown: -24.503

```
data_Tb2CeHf
_chemical_formula_sum 'Tb2 Ce1 Hf1'
_symmetry_space_group_name_H-M 'P 4/m m m'
_symmetry_Int_Tables_number 123
_symmetry_space_group_name_Hall '-P 4 2'
_cell_length_a 4.8004
_cell_length_b 4.8004
_cell_length_c 4.9040
_cell_angle_alpha 90.00
_cell_angle_beta 90.00
_cell_angle_gamma 90.00
loop_
_atom_site_label
_atom_site_type_symbol
_atom_site_fract_x
_atom_site_fract_y
_atom_site_fract_z
Tb1 Tb 0.0000 0.5000 0.0000
Ce1 Ce 0.0000 0.0000 0.5000
Hf1 Hf 0.5000 0.5000 0.5000
```

***

No. 5
Tb2CeHf | PBE | relaxed

Calculated formation energy, meV per atom: 364
Spin magnetization, Bohr magnetons per cell: 0.53
Polymorph energy (0 for the lowest one), meV per atom: 213
VASP energy, eV for the cell shown: -71.077

```
data_Tb2CeHf
_chemical_formula_sum 'Tb6 Ce3 Hf3'
_symmetry_space_group_name_H-M 'R -3 m'
_symmetry_Int_Tables_number 166
_symmetry_space_group_name_Hall '-R 3 2"'
_cell_length_a 3.3083
_cell_length_b 3.3083
_cell_length_c 35.6826
_cell_angle_alpha 90.00
_cell_angle_beta 90.00
_cell_angle_gamma 120.00
loop_
_atom_site_label
_atom_site_type_symbol
_atom_site_fract_x
_atom_site_fract_y
_atom_site_fract_z
Tb1 Tb 0.0000 0.0000 0.0872
Ce1 Ce 0.0000 0.0000 0.5000
Hf1 Hf 0.0000 0.0000 0.0000
```

***

No. 6
Tb2CeHf | PBE | relaxed

Calculated formation energy, meV per atom: 150
Spin magnetization, Bohr magnetons per cell: 2.97
Polymorph energy (0 for the lowest one), meV per atom: 0
VASP energy, eV for the cell shown: -73.638

```
data_Tb2CeHf
_chemical_formula_sum 'Tb6 Ce3 Hf3'
_symmetry_space_group_name_H-M 'R 3 m'
_symmetry_Int_Tables_number 160
_symmetry_space_group_name_Hall 'R 3 -2"'
_cell_length_a 3.3919
_cell_length_b 3.3919
_cell_length_c 33.9848
_cell_angle_alpha 90.00
_cell_angle_beta 90.00
_cell_angle_gamma 120.00
loop_
_atom_site_label
_atom_site_type_symbol
_atom_site_fract_x
_atom_site_fract_y
_atom_site_fract_z
Tb1 Tb 0.0000 0.0000 0.0000
Tb2 Tb 0.0000 0.0000 0.1776
Ce1 Ce 0.0000 0.0000 0.4223
Hf1 Hf 0.0000 0.0000 0.5887
```

***

No. 7
Ce2HfTc | PBE | relaxed

Calculated formation energy, meV per atom: 328
Spin magnetization, Bohr magnetons per cell: 0.01
VASP energy, eV for the cell shown: -92.629

```
data_Ce2HfTc
_chemical_formula_sum 'Ce6 Hf3 Tc3'
_symmetry_space_group_name_H-M 'R -3 m'
_symmetry_Int_Tables_number 166
_symmetry_space_group_name_Hall '-R 3 2"'
_cell_length_a 3.1076
_cell_length_b 3.1076
_cell_length_c 31.7569
_cell_angle_alpha 90.00
_cell_angle_beta 90.00
_cell_angle_gamma 120.00
loop_
_atom_site_label
_atom_site_type_symbol
_atom_site_fract_x
_atom_site_fract_y
_atom_site_fract_z
Ce1 Ce 0.0000 0.0000 0.0949
Hf1 Hf 0.0000 0.0000 0.0000
Tc1 Tc 0.0000 0.0000 0.5000
```

***

No. 8
CeHf2Tc | PBE | relaxed

Calculated formation energy, meV per atom: -200
Spin magnetization, Bohr magnetons per cell: 0.34
Polymorph energy (0 for the lowest one), meV per atom: 0
VASP energy, eV for the cell shown: -37.008

```
data_CeHf2Tc
_chemical_formula_sum 'Ce1 Hf2 Tc1'
_symmetry_space_group_name_H-M 'P 4/m m m'
_symmetry_Int_Tables_number 123
_symmetry_space_group_name_Hall '-P 4 2'
_cell_length_a 3.2716
_cell_length_b 3.2716
_cell_length_c 8.1143
_cell_angle_alpha 90.00
_cell_angle_beta 90.00
_cell_angle_gamma 90.00
loop_
_atom_site_label
_atom_site_type_symbol
_atom_site_fract_x
_atom_site_fract_y
_atom_site_fract_z
Ce1 Ce 0.0000 0.0000 0.0000
Hf1 Hf 0.5000 0.5000 0.3078
Tc1 Tc 0.0000 0.0000 0.5000
```

***

No. 9
CeHf2Tc | PBE | relaxed

Calculated formation energy, meV per atom: 102
Spin magnetization, Bohr magnetons per cell: 0.00
Polymorph energy (0 for the lowest one), meV per atom: 302
VASP energy, eV for the cell shown: -107.396

```
data_CeHf2Tc
_chemical_formula_sum 'Ce3 Hf6 Tc3'
_symmetry_space_group_name_H-M 'R -3 m'
_symmetry_Int_Tables_number 166
_symmetry_space_group_name_Hall '-R 3 2"'
_cell_length_a 3.1489
_cell_length_b 3.1489
_cell_length_c 30.4449
_cell_angle_alpha 90.00
_cell_angle_beta 90.00
_cell_angle_gamma 120.00
loop_
_atom_site_label
_atom_site_type_symbol
_atom_site_fract_x
_atom_site_fract_y
_atom_site_fract_z
Ce1 Ce 0.0000 0.0000 0.0000
Hf1 Hf 0.0000 0.0000 0.1007
Tc1 Tc 0.0000 0.0000 0.5000
```

***

No. 10
CeHfTc2 | PBE | relaxed

Calculated formation energy, meV per atom: -221
Spin magnetization, Bohr magnetons per cell: 0.00
VASP energy, eV for the cell shown: -37.505

```
data_CeHfTc2
_chemical_formula_sum 'Ce1 Hf1 Tc2'
_symmetry_space_group_name_H-M 'P 4/m m m'
_symmetry_Int_Tables_number 123
_symmetry_space_group_name_Hall '-P 4 2'
_cell_length_a 3.3438
_cell_length_b 3.3438
_cell_length_c 6.6864
_cell_angle_alpha 90.00
_cell_angle_beta 90.00
_cell_angle_gamma 90.00
loop_
_atom_site_label
_atom_site_type_symbol
_atom_site_fract_x
_atom_site_fract_y
_atom_site_fract_z
Ce1 Ce 0.0000 0.0000 0.0000
Hf1 Hf 0.0000 0.0000 0.5000
Tc1 Tc 0.5000 0.5000 0.2553
```

***

No. 11
CeHf4Te8 | PBE | relaxed

Spin magnetization, Bohr magnetons per cell: 4.65
VASP energy, eV for the cell shown: -322.364

```
data_CeHf4Te8
_chemical_formula_sum 'Ce4 Hf16 Te32'
_symmetry_space_group_name_H-M 'F -4 3 m'
_symmetry_Int_Tables_number 216
_symmetry_space_group_name_Hall 'F -4 2 3'
_cell_length_a 11.9356
_cell_length_b 11.9356
_cell_length_c 11.9356
_cell_angle_alpha 90.00
_cell_angle_beta 90.00
_cell_angle_gamma 90.00
loop_
_atom_site_label
_atom_site_type_symbol
_atom_site_fract_x
_atom_site_fract_y
_atom_site_fract_z
Ce1 Ce 0.0000 0.0000 0.0000
Hf1 Hf 0.1054 0.1054 0.3946
Te1 Te 0.1322 0.1322 0.6322
Te2 Te 0.1436 0.1436 0.1436
```

***

No. 12
CeHfTe | PBE | relaxed

Spin magnetization, Bohr magnetons per cell: 0.03
VASP energy, eV for the cell shown: -81.377

```
data_CeHfTe
_chemical_formula_sum 'Ce4 Hf4 Te4'
_symmetry_space_group_name_H-M 'C 1 2/m 1'
_symmetry_Int_Tables_number 12
_cell_length_a 5.3839
_cell_length_b 5.3720
_cell_length_c 10.0241
_cell_angle_alpha 90.00
_cell_angle_beta 92.90
_cell_angle_gamma 90.00
loop_
_symmetry_equiv_pos_as_xyz
'x,y,z'
'-x,-y,-z'
'-x,y,-z'
'x,-y,z'
'x+1/2,y+1/2,z'
'-x+1/2,-y+1/2,-z'
'-x+1/2,y+1/2,-z'
'x+1/2,-y+1/2,z'
loop_
_atom_site_label
_atom_site_type_symbol
_atom_site_fract_x
_atom_site_fract_y
_atom_site_fract_z
Ce1 Ce 0.2097 0.0000 0.0712
Hf1 Hf 0.2401 0.0000 0.4184
Te1 Te 0.2278 0.5000 0.2682
```

***

No. 13
Ce2HfTh | PBE | relaxed

Calculated formation energy, meV per atom: 321
Spin magnetization, Bohr magnetons per cell: 0.03
Polymorph energy (0 for the lowest one), meV per atom: 219
VASP energy, eV for the cell shown: -111.833

```
data_Ce2HfTh
_chemical_formula_sum 'Ce8 Hf4 Th4'
_symmetry_space_group_name_H-M 'F m -3 m'
_symmetry_Int_Tables_number 225
_symmetry_space_group_name_Hall '-F 4 2 3'
_cell_length_a 7.5861
_cell_length_b 7.5861
_cell_length_c 7.5861
_cell_angle_alpha 90.00
_cell_angle_beta 90.00
_cell_angle_gamma 90.00
loop_
_atom_site_label
_atom_site_type_symbol
_atom_site_fract_x
_atom_site_fract_y
_atom_site_fract_z
Ce1 Ce 0.2500 0.2500 0.2500
Hf1 Hf 0.0000 0.0000 0.0000
Th1 Th 0.0000 0.0000 0.5000
```

***

No. 14
CeHfTh2 | PBE | relaxed

Calculated formation energy, meV per atom: 124
Spin magnetization, Bohr magnetons per cell: 0.00
Polymorph energy (0 for the lowest one), meV per atom: 49
VASP energy, eV for the cell shown: -30.230

```
data_CeHfTh2
_chemical_formula_sum 'Ce1 Hf1 Th2'
_symmetry_space_group_name_H-M 'P 4/m m m'
_symmetry_Int_Tables_number 123
_symmetry_space_group_name_Hall '-P 4 2'
_cell_length_a 4.9664
_cell_length_b 4.9664
_cell_length_c 4.6369
_cell_angle_alpha 90.00
_cell_angle_beta 90.00
_cell_angle_gamma 90.00
loop_
_atom_site_label
_atom_site_type_symbol
_atom_site_fract_x
_atom_site_fract_y
_atom_site_fract_z
Ce1 Ce 0.0000 0.0000 0.0000
Hf1 Hf 0.5000 0.5000 0.0000
Th1 Th 0.0000 0.5000 0.5000
```

***

No. 15
CeHfTh2 | PBE | relaxed

Calculated formation energy, meV per atom: 76
Spin magnetization, Bohr magnetons per cell: 0.00
Polymorph energy (0 for the lowest one), meV per atom: 0
VASP energy, eV for the cell shown: -30.424

```
data_CeHfTh2
_chemical_formula_sum 'Ce1 Hf1 Th2'
_symmetry_space_group_name_H-M 'P 4/m m m'
_symmetry_Int_Tables_number 123
_symmetry_space_group_name_Hall '-P 4 2'
_cell_length_a 3.4933
_cell_length_b 3.4933
_cell_length_c 9.3069
_cell_angle_alpha 90.00
_cell_angle_beta 90.00
_cell_angle_gamma 90.00
loop_
_atom_site_label
_atom_site_type_symbol
_atom_site_fract_x
_atom_site_fract_y
_atom_site_fract_z
Ce1 Ce 0.0000 0.0000 0.0000
Hf1 Hf 0.0000 0.0000 0.5000
Th1 Th 0.5000 0.5000 0.2572
```

***

No. 16
CeHfTh2 | PBE | relaxed

Calculated formation energy, meV per atom: 155
Spin magnetization, Bohr magnetons per cell: 0.00
Polymorph energy (0 for the lowest one), meV per atom: 79
VASP energy, eV for the cell shown: -120.432

```
data_CeHfTh2
_chemical_formula_sum 'Ce4 Hf4 Th8'
_symmetry_space_group_name_H-M 'F m -3 m'
_symmetry_Int_Tables_number 225
_symmetry_space_group_name_Hall '-F 4 2 3'
_cell_length_a 7.6689
_cell_length_b 7.6689
_cell_length_c 7.6689
_cell_angle_alpha 90.00
_cell_angle_beta 90.00
_cell_angle_gamma 90.00
loop_
_atom_site_label
_atom_site_type_symbol
_atom_site_fract_x
_atom_site_fract_y
_atom_site_fract_z
Ce1 Ce 0.0000 0.0000 0.0000
Hf1 Hf 0.0000 0.0000 0.5000
Th1 Th 0.2500 0.2500 0.2500
```

***

No. 17
Ce2HfTh | PBE | relaxed

Calculated formation energy, meV per atom: 102
Spin magnetization, Bohr magnetons per cell: 0.00
Polymorph energy (0 for the lowest one), meV per atom: 0
VASP energy, eV for the cell shown: -28.833

```
data_Ce2HfTh
_chemical_formula_sum 'Ce2 Hf1 Th1'
_symmetry_space_group_name_H-M 'P 4/m m m'
_symmetry_Int_Tables_number 123
_symmetry_space_group_name_Hall '-P 4 2'
_cell_length_a 3.3844
_cell_length_b 3.3844
_cell_length_c 9.5570
_cell_angle_alpha 90.00
_cell_angle_beta 90.00
_cell_angle_gamma 90.00
loop_
_atom_site_label
_atom_site_type_symbol
_atom_site_fract_x
_atom_site_fract_y
_atom_site_fract_z
Ce1 Ce 0.0000 0.0000 0.2418
Hf1 Hf 0.5000 0.5000 0.0000
Th1 Th 0.5000 0.5000 0.5000
```

***

No. 18
CeHf2Th | PBE | relaxed

Calculated formation energy, meV per atom: 236
Spin magnetization, Bohr magnetons per cell: 0.00
Polymorph energy (0 for the lowest one), meV per atom: 69
VASP energy, eV for the cell shown: -32.318

```
data_CeHf2Th
_chemical_formula_sum 'Ce1 Hf2 Th1'
_symmetry_space_group_name_H-M 'P 4/m m m'
_symmetry_Int_Tables_number 123
_symmetry_space_group_name_Hall '-P 4 2'
_cell_length_a 3.9000
_cell_length_b 3.9000
_cell_length_c 6.9489
_cell_angle_alpha 90.00
_cell_angle_beta 90.00
_cell_angle_gamma 90.00
loop_
_atom_site_label
_atom_site_type_symbol
_atom_site_fract_x
_atom_site_fract_y
_atom_site_fract_z
Ce1 Ce 0.0000 0.0000 0.0000
Hf1 Hf 0.5000 0.5000 0.2196
Th1 Th 0.0000 0.0000 0.5000
```

***

No. 19
CeHf2Th | PBE | relaxed

Calculated formation energy, meV per atom: 222
Spin magnetization, Bohr magnetons per cell: 0.00
Polymorph energy (0 for the lowest one), meV per atom: 55
VASP energy, eV for the cell shown: -97.120

```
data_CeHf2Th
_chemical_formula_sum 'Ce3 Hf6 Th3'
_symmetry_space_group_name_H-M 'R -3 m'
_symmetry_Int_Tables_number 166
_symmetry_space_group_name_Hall '-R 3 2"'
_cell_length_a 3.3300
_cell_length_b 3.3300
_cell_length_c 32.5894
_cell_angle_alpha 90.00
_cell_angle_beta 90.00
_cell_angle_gamma 120.00
loop_
_atom_site_label
_atom_site_type_symbol
_atom_site_fract_x
_atom_site_fract_y
_atom_site_fract_z
Ce1 Ce 0.0000 0.0000 0.0000
Hf1 Hf 0.0000 0.0000 0.2514
Th1 Th 0.0000 0.0000 0.5000
```

***

No. 20
CeHf2Th | PBE | relaxed

Calculated formation energy, meV per atom: 166
Spin magnetization, Bohr magnetons per cell: 0.00
Polymorph energy (0 for the lowest one), meV per atom: 0
VASP energy, eV for the cell shown: -32.595

```
data_CeHf2Th
_chemical_formula_sum 'Ce1 Hf2 Th1'
_symmetry_space_group_name_H-M 'P 4/m m m'
_symmetry_Int_Tables_number 123
_symmetry_space_group_name_Hall '-P 4 2'
_cell_length_a 4.6266
_cell_length_b 4.6266
_cell_length_c 4.8900
_cell_angle_alpha 90.00
_cell_angle_beta 90.00
_cell_angle_gamma 90.00
loop_
_atom_site_label
_atom_site_type_symbol
_atom_site_fract_x
_atom_site_fract_y
_atom_site_fract_z
Ce1 Ce 0.0000 0.0000 0.0000
Hf1 Hf 0.0000 0.5000 0.5000
Th1 Th 0.5000 0.5000 0.0000
```